(1)
VASP calculation (PBE-GGA) on crystalline Li2Hg2Au at its relaxed geometry.

abc: 6.8702 6.8702 4.0155
angles: 90.00 90.00 90.00
Last column: nearest neighbours and their distance in Å.
Space group P4/mbm (No. 127)
Asymmetric unit:
Li (0.1437, 0.3563, 0.0000) [4 per cell]  2 Au 2.64, 6 Hg 2.77-2.90, 1 Li 2.79
Hg (0.1598, 0.6598, 0.5000) [4 per cell]  6 Li 2.77-2.90
Au (0.0000, 0.0000, 0.0000) [2 per cell]  4 Li 2.64

Results
The calculation puts the total magnetization at 0.0 μB per cell. As for the total energy: -1.799 eV/atom. For the formation energy, the calculation gives -0.257 eV per atom. As for the offset from the most stable computed form: 85 meV/atom.



(2)
VASP calculation (PBE-GGA) on crystalline Ca2AcRh2 at its relaxed geometry.

abc: 4.9529 4.9529 6.2292
angles: 90.00 90.00 120.00
Last column: nearest neighbours and their distance in Å.
Space group P-3m1 (No. 164)
Asymmetric unit:
Ca (0.3333, 0.6667, 0.3512) [2 per cell]  5 Rh 3.11-3.12, 3 Ca 3.41
Ac (0.0000, 0.0000, 0.0000) [1 per cell]  6 Rh 3.01
Rh (0.3333, 0.6667, 0.8510) [2 per cell]  3 Ac 3.01, 5 Ca 3.11-3.12

Results
The calculation puts the total magnetization at 0.0 μB per cell. As for the total energy: -4.992 eV/atom. For the formation energy, the calculation gives -0.429 eV per atom. As for the offset from the most stable computed form: 0 meV/atom.



(3)
VASP calculation (PBE-GGA) on crystalline NaSr2Tl at its relaxed geometry.

abc: 4.0191 4.0191 40.0926
angles: 90.00 90.00 120.00
Last column: nearest neighbours and their distance in Å.
Space group R-3m (No. 166, hexagonal axes)
Asymmetric unit:
Na (0.0000, 0.0000, 0.0000) [3 per cell]  6 Na 4.02, 6 Sr 4.02
Sr (0.0000, 0.0000, 0.4154) [6 per cell]  1 Tl 3.39
Tl (0.0000, 0.0000, 0.5000) [3 per cell]  2 Sr 3.39

Results
The calculation puts the total magnetization at 0.0 μB per cell. As for the total energy: -1.633 eV/atom. For the formation energy, the calculation gives 0.129 eV per atom. As for the offset from the most stable computed form: 358 meV/atom.



What is the formula in the third record?
NaSr2Tl



The highest formation energy belongs to which entry?
NaSr2Tl



What did the second record say?
VASP calculation (PBE-GGA) on crystalline Ca2AcRh2 at its relaxed geometry.

abc: 4.9529 4.9529 6.2292
angles: 90.00 90.00 120.00
Last column: nearest neighbours and their distance in Å.
Space group P-3m1 (No. 164)
Asymmetric unit:
Ca (0.3333, 0.6667, 0.3512) [2 per cell]  5 Rh 3.11-3.12, 3 Ca 3.41
Ac (0.0000, 0.0000, 0.0000) [1 per cell]  6 Rh 3.01
Rh (0.3333, 0.6667, 0.8510) [2 per cell]  3 Ac 3.01, 5 Ca 3.11-3.12

Results
The calculation puts the total magnetization at 0.0 μB per cell. As for the total energy: -4.992 eV/atom. For the formation energy, the calculation gives -0.429 eV per atom. As for the offset from the most stable computed form: 0 meV/atom.